A geometry-optimized CeGe2Rh5 structure. Source: Alexandria via LeMat-Bulk, functional GGA-PBE.

- Energy of formation from the pure elements: -4.8 eV/f.u.
- Calculated total energy: -56.7 eV per cell
- Symmetry: Immm, No. 71
- Total magnetization: 0.0 Bohr magnetons per cell

Unit cell a=3.877 b=6.363 c=6.363 alpha=66.33 beta=72.26 gamma=72.26
Element x y z (fractional)
Ce 0.000 0.000 0.000
Ge 0.757 0.743 0.743
Ge 0.243 0.257 0.257
Rh 0.000 0.500 0.500
Rh 0.640 0.559 0.160
Rh 0.360 0.441 0.840
Rh 0.360 0.840 0.441
Rh 0.640 0.160 0.559


A geometry-optimized Th3PaRh12 structure. Source: Alexandria via LeMat-Bulk, functional GGA-PBE.

- Energy of formation from the pure elements: -12.2 eV/f.u.
- Calculated total energy: -132.2 eV per cell
- Symmetry: P4/mmm, No. 123
- Total magnetization: 0.0 Bohr magnetons per cell

Unit cell a=4.107 b=4.107 c=16.513 alpha=90.00 beta=90.00 gamma=90.00
Element x y z (fractional)
Th 0.000 0.000 0.248
Th 0.000 0.000 0.500
Th 0.000 0.000 0.752
Pa 0.000 0.000 0.000
Rh 0.500 0.500 0.000
Rh 0.500 0.500 0.247
Rh 0.500 0.500 0.500
Rh 0.500 0.500 0.753
Rh 0.500 0.000 0.119
Rh 0.500 0.000 0.374
Rh 0.500 0.000 0.626
Rh 0.500 0.000 0.881
Rh 0.000 0.500 0.119
Rh 0.000 0.500 0.374
Rh 0.000 0.500 0.626
Rh 0.000 0.500 0.881